(1)
Bi2PO after structural relaxation. Source: Alexandria via LeMat-Bulk, functional PBE-GGA.

Properties
The energy above the most stable polymorph in this dataset comes out at 0.0 meV/atom. As for the electronic total energy: -4.70 eV per atom. The formation energy (no corrections) comes out at -168 meV/atom.

Lattice parameters (Å, degrees): 6.1739 6.1739 11.1925 90.00 90.00 90.00
Space group I-42d (No. 122)
Asymmetric unit:
1 Bi 0.1995 0.2500 0.1250
2 P 0.0000 0.0000 0.5000
3 O 0.0000 0.0000 0.0000

(2)
BaBe2Cu after structural relaxation. Source: Alexandria via LeMat-Bulk, functional PBE-GGA.

Properties
The energy above the most stable polymorph in this dataset comes out at 750.3 meV/atom. As for the electronic total energy: -2.51 eV per atom. The calculation puts the formation energy from the elements at 3.42 eV/f.u.

Lattice parameters (Å, degrees): 6.8102 6.8102 6.8102 90.00 90.00 90.00
Space group Fm-3m (No. 225)
Asymmetric unit:
1 Ba 0.0000 0.0000 0.0000
2 Be 0.2500 0.2500 0.2500
3 Cu 0.0000 0.0000 0.5000

(3)
BeCrCd2Ag after structural relaxation. Source: Alexandria via LeMat-Bulk, functional PBE-GGA.

Properties
As for the electronic total energy: -2.35 eV per atom. The calculation puts the formation energy from the elements at 6.30 eV/f.u.

Lattice parameters (Å, degrees): 5.2354 5.2354 5.0930 90.00 90.00 90.00
Space group P4/mmm (No. 123)
Asymmetric unit:
1 Be 0.0000 0.0000 0.0000
2 Cr 0.5000 0.5000 0.5000
3 Cd 0.0000 0.5000 0.5000
4 Ag 0.5000 0.5000 0.0000

(4)
CuSe2F after structural relaxation. Source: Alexandria via LeMat-Bulk, functional PBE-GGA.

Properties
As for the electronic total energy: -3.23 eV per atom. The formation energy (no corrections) comes out at 2 meV/atom.

Lattice parameters (Å, degrees): 2.8946 2.8946 26.3572 90.00 90.00 120.00
Space group R-3m (No. 166, hexagonal axes)
Asymmetric unit:
1 Cu 0.0000 0.0000 0.0000
2 Se 0.0000 0.0000 0.0895
3 F 0.0000 0.0000 0.5000

(5)
NbV4Ir2 after structural relaxation. Source: Alexandria via LeMat-Bulk, functional PBE-GGA.

Properties
As for the electronic total energy: -8.22 eV per atom. The calculation puts the formation energy from the elements at 6.73 eV/f.u.

Lattice parameters (Å, degrees): 4.5075 4.5075 12.6458 90.00 90.00 90.00
Space group I4/mmm (No. 139)
Asymmetric unit:
1 Nb 0.0000 0.0000 0.0000
2 V 0.0000 0.0000 0.2015
3 V 0.0000 0.5000 0.0000
4 Ir 0.0000 0.0000 0.3878

(6)
Hf2AgSnC after structural relaxation. Source: Alexandria via LeMat-Bulk, functional PBE-GGA.

Properties
As for the electronic total energy: -7.33 eV per atom. The calculation puts the formation energy from the elements at -0.65 eV/f.u.

Lattice parameters (Å, degrees): 4.5163 4.5163 4.4597 90.00 90.00 90.00
Space group P4/mmm (No. 123)
Asymmetric unit:
1 Hf 0.0000 0.5000 0.0000
2 Ag 0.0000 0.0000 0.5000
3 Sn 0.5000 0.5000 0.5000
4 C 0.0000 0.0000 0.0000